# TbHoEr

A relaxed structure of TbHoEr (GGA-PBE, the Alexandria database).

Calculated values
As for the formation energy from the elements: 0.02 eV per atom. As for the density of states at the Fermi level: 7.92 states/eV/cell. Its total energy is -4.57 eV per atom. As for the space group: P-1.

a = 4.981 Å, b = 6.096 Å, c = 7.879 Å
α = 104.93°, β = 108.53°, γ = 114.08°
Fractional positions:
Tb (0.250, 0.250, 0.750)
Ho (0.083, 0.750, 0.916)
Er (0.584, 0.250, 0.417)
Tb (0.750, 0.750, 0.250)
Ho (0.917, 0.250, 0.084)
Er (0.416, 0.750, 0.583)